[1]
# ScMo2Ir

A relaxed ScMo2Ir crystal (GGA-PBE, Alexandria).

Output
Offset from the most stable computed form, kJ per mole of atoms: 35.7
Symmetry: R3m (160)

Cell: 9.3556 9.3556 9.3556 Å, 17.75 17.75 17.75°
Fractional positions:
Mo 0.7482 0.7482 0.7482
Mo 0.9968 0.9968 0.9968
Ir 0.2525 0.2525 0.2525
Sc 0.5026 0.5026 0.5026

[2]
# BaMg2CrIr

A relaxed BaMg2CrIr crystal (GGA-PBE, Alexandria).

Output
Symmetry: P4/mmm (123)

Cell: 5.1701 5.1701 4.8672 Å, 90.00 90.00 90.00°
Site moments in Bohr magnetons follow the coordinates.
Fractional positions:
Mg 0.0000 0.5000 0.0000  -0.01
Mg 0.5000 0.0000 0.0000  -0.01
Ir 0.0000 0.0000 0.0000  -0.15
Cr 0.0000 0.0000 0.5000  3.18
Ba 0.5000 0.5000 0.5000  -0.02

The VASP energy results, record by record, are as follows: -36.42; -23.18 eV/f.u..
The formation energy from the elements results, record by record, are as follows: 108; 83 meV/atom.